# Ag3OsI

A relaxed structure of Ag3OsI (PBE, Alexandria via LeMat-Bulk).

abc: 5.1901 5.1901 5.1901
angles: 90.00 90.00 90.00
Site moments in Bohr magnetons follow the coordinates.
Atoms (fractional coordinates):
I1 0.5000 0.5000 0.5000  0.01
Ag1 0.0000 0.0000 0.5000  0.16
Os1 0.0000 0.0000 0.0000  1.88
Ag2 0.5000 0.0000 0.0000  0.00
Ag3 0.0000 0.5000 0.0000  0.06

Output
* V: 28.0 Å³ per atom
* total DFT energy (no corrections): -14.8 eV for the cell shown
* formation energy without anion corrections: 125.7 kJ/mol of atoms
* space group: Pm-3m
* offset from the most stable computed form: 0 meV per atom
* size of the total moment: 2.178 μB/f.u.